First-principles (meta-GGA SCAN) data for a crystal of KFe2 relaxed with PBEsol, as listed in Alexandria via LeMat-Bulk.

## Properties
total moment: 6.74 μB per cell
E: -38.5 eV/f.u.
mass density: 3384 kg/m3
space group: Fm-3m (225)
formation energy from the elements: 589.9 kJ/mol of formula units

Cell: 4.712 4.712 4.712 Å, 60.00 60.00 60.00°
Each line ends with the local moment (μB).
Fractional coordinates of all 3 atoms:
1 Fe 0.750 0.750 0.750  3.26
2 Fe 0.250 0.250 0.250  3.26
3 K 0.000 0.000 0.000  0.03

First-principles (meta-GGA SCAN) data for a crystal of KFe relaxed with PBEsol, as listed in Alexandria via LeMat-Bulk.

## Properties
total moment: 5.80 μB per cell
E: -24.1 eV/f.u.
excess energy over the best structure of this formula in the dataset: 24.6 kJ per mole of atoms
mass density: 2899 kg/m3
space group: R-3m (166)
formation energy from the elements: 224.9 kJ/mol of formula units

Cell: 5.105 5.105 5.105 Å, 67.31 67.31 67.31°
Each line ends with the local moment (μB).
Fractional coordinates of all 4 atoms:
1 Fe 0.089 0.089 0.089  3.03
2 Fe 0.911 0.911 0.911  3.03
3 K 0.364 0.364 0.364  -0.03
4 K 0.636 0.636 0.636  -0.03

First-principles (meta-GGA SCAN) data for a crystal of KFe relaxed with PBEsol, as listed in Alexandria via LeMat-Bulk.

## Properties
total moment: 2.67 μB per cell
E: -23.8 eV/f.u.
excess energy over the best structure of this formula in the dataset: 41.4 kJ per mole of atoms
mass density: 3834 kg/m3
space group: Cmmm (65)
formation energy from the elements: 258.5 kJ/mol of formula units

Cell: 2.851 2.851 5.678 Å, 90.00 90.00 117.02°
Each line ends with the local moment (μB).
Fractional coordinates of all 2 atoms:
1 K 0.500 0.500 0.500  -0.09
2 Fe 0.000 0.000 0.000  3.07

First-principles (meta-GGA SCAN) data for a crystal of KFe relaxed with PBEsol, as listed in Alexandria via LeMat-Bulk.

## Properties
total moment: 5.87 μB per cell
E: -24.6 eV/f.u.
excess energy over the best structure of this formula in the dataset: 0.0 kJ per mole of atoms
mass density: 2987 kg/m3
space group: Imma (74)
formation energy from the elements: 175.7 kJ/mol of formula units

Cell: 2.996 5.904 6.825 Å, 115.63 102.68 90.00°
Each line ends with the local moment (μB).
Fractional coordinates of all 4 atoms:
1 Fe 0.317 0.567 0.635  2.90
2 Fe 0.683 0.433 0.365  2.90
3 K 0.899 0.149 0.797  -0.01
4 K 0.101 0.851 0.203  -0.01

First-principles (meta-GGA SCAN) data for a crystal of KFe2 relaxed with PBEsol, as listed in Alexandria via LeMat-Bulk.

## Properties
total moment: 5.55 μB per cell
E: -42.1 eV/f.u.
mass density: 4385 kg/m3
space group: I4/mmm (139)
formation energy from the elements: 235.3 kJ/mol of formula units

Cell: 3.037 3.037 6.552 Å, 103.40 103.40 90.00°
Each line ends with the local moment (μB).
Fractional coordinates of all 3 atoms:
1 Fe 0.283 0.283 0.566  2.78
2 Fe 0.717 0.717 0.434  2.78
3 K 0.000 0.000 0.000  0.00

First-principles (meta-GGA SCAN) data for a crystal of KFe relaxed with PBEsol, as listed in Alexandria via LeMat-Bulk.

## Properties
total moment: 3.24 μB per cell
E: -23.9 eV/f.u.
excess energy over the best structure of this formula in the dataset: 37.0 kJ per mole of atoms
mass density: 2776 kg/m3
space group: Pm-3m (221)
formation energy from the elements: 249.8 kJ/mol of formula units

Cell: 3.844 3.844 3.844 Å, 90.00 90.00 90.00°
Each line ends with the local moment (μB).
Fractional coordinates of all 2 atoms:
1 K 0.500 0.500 0.500  -0.01
2 Fe 0.000 0.000 0.000  3.22

First-principles (meta-GGA SCAN) data for a crystal of KFe2 relaxed with PBEsol, as listed in Alexandria via LeMat-Bulk.

## Properties
total moment: 5.89 μB per cell
E: -40.7 eV/f.u.
mass density: 4724 kg/m3
space group: P-3m1 (164)
formation energy from the elements: 372.9 kJ/mol of formula units

Cell: 2.651 4.805 4.805 Å, 120.00 90.00 90.00°
Each line ends with the local moment (μB).
Fractional coordinates of all 3 atoms:
1 Fe 0.496 0.667 0.333  3.05
2 Fe 0.504 0.333 0.667  3.05
3 K 0.000 0.000 0.000  -0.02

First-principles (meta-GGA SCAN) data for a crystal of KLaFe2 relaxed with PBEsol, as listed in Alexandria via LeMat-Bulk.

## Properties
total moment: 4.84 μB per cell
E: -83.6 eV/f.u.
mass density: 5326 kg/m3
space group: I4/mmm (139)
formation energy from the elements: 390.5 kJ/mol of formula units

Cell: 5.065 5.022 5.065 Å, 59.72 90.00 120.28°
Each line ends with the local moment (μB).
Fractional coordinates of all 4 atoms:
1 Fe 0.250 0.500 0.250  2.96
2 Fe 0.750 0.500 0.750  2.96
3 K 0.500 0.000 0.500  -0.05
4 La 0.000 0.000 0.000  -0.40